1.
Entry from Alexandria via LeMat-Bulk: crystalline Zn6NiAu8 at its relaxed geometry (PBE).

E above lowest polymorph, eV per atom: 0.000
SG: R-3
VASP energy, eV per atom: -2.7787
Density of states at the Fermi level, states/eV/f.u.: 4.4
Crystal system: trigonal

```
15
Lattice="3.6850 2.1275 5.3914 -3.6850 2.1275 5.3914 0.0000 -4.2550 5.3914" Properties=species:S:1:pos:R:3 pbc="T T T"
Zn -1.5850 -2.0155 7.4506
Zn -2.5380 0.3649 8.7237
Zn 0.9530 -2.3804 8.7237
Zn -0.9530 2.3804 7.4506
Zn 2.5380 -0.3649 7.4506
Zn 1.5850 2.0155 8.7237
Ni 0.0000 0.0000 8.0872
Au 0.0000 0.0000 1.6892
Au -1.7540 0.2487 5.9842
Au 0.6616 -1.6434 5.9842
Au -1.0924 -1.3947 10.1902
Au 1.0924 1.3947 5.9841
Au -0.6616 1.6434 10.1902
Au 1.7540 -0.2487 10.1902
Au 0.0000 0.0000 14.4852
```


2.
Entry from Alexandria via LeMat-Bulk: crystalline La6Pm2Dy3Mg at its relaxed geometry (PBE).

SG: C2/m
VASP energy, eV per atom: -4.5274
Density of states at the Fermi level, states/eV/f.u.: 14.2
Crystal system: monoclinic

```
12
Lattice="3.1589 -5.4764 0.0000 3.1589 5.4764 0.0000 -2.1146 0.0000 11.7681" Properties=species:S:1:pos:R:3 pbc="T T T"
La -0.0167 1.8112 8.8391
La 1.0382 0.0000 2.9202
La -0.0167 -1.8112 8.8391
La 4.2198 1.8112 2.9290
La 3.1649 0.0000 8.8478
La 4.2198 -1.8112 2.9290
Pm 2.1016 1.8262 5.8840
Pm 2.1016 -1.8262 5.8840
Dy 3.1589 3.6510 0.0000
Dy 3.1589 0.0000 0.0000
Dy 3.1589 -3.6510 0.0000
Mg -1.0573 0.0000 5.8840
```


3.
Entry from Alexandria via LeMat-Bulk: crystalline NaNb3Cd at its relaxed geometry (PBE).

E above lowest polymorph, eV per atom: 0.049
SG: Pm-3m
VASP energy, eV per atom: -4.5021
Density of states at the Fermi level, states/eV/f.u.: 8.6
Crystal system: cubic

```
5
Lattice="5.1244 0.0000 0.0000 0.0000 5.1244 0.0000 0.0000 0.0000 5.1244" Properties=species:S:1:pos:R:3 pbc="T T T"
Na 0.0000 0.0000 0.0000
Nb 0.0000 2.5622 2.5622
Nb 2.5622 0.0000 2.5622
Nb 2.5622 2.5622 0.0000
Cd 2.5622 2.5622 2.5622
```


4.
Entry from Alexandria via LeMat-Bulk: crystalline LaZn4Au4 at its relaxed geometry (PBE).

SG: I4/m
VASP energy, eV per atom: -2.8747
Density of states at the Fermi level, states/eV/f.u.: 3.9
Crystal system: tetragonal

```
9
Lattice="-4.2859 4.2859 2.4334 4.2859 -4.2859 2.4334 4.2859 4.2859 -2.4334" Properties=species:S:1:pos:R:3 pbc="T T T"
La 0.0000 0.0000 0.0000
Zn 3.2348 2.2433 0.0000
Zn 2.0426 -1.0511 2.4334
Zn 2.2433 5.3371 0.0000
Zn 1.0511 2.0426 2.4334
Au 5.5175 0.7583 0.0000
Au 0.7583 3.0544 0.0000
Au 3.5277 1.2315 2.4334
Au -1.2315 3.5277 2.4334
```


5.
Entry from Alexandria via LeMat-Bulk: crystalline AcLa5Pr2Tm at its relaxed geometry (PBE).

SG: I4/mcm
VASP energy, eV per atom: -4.5090
Density of states at the Fermi level, states/eV/f.u.: 14.8
Crystal system: tetragonal

```
18
Lattice="-4.6291 4.6291 7.8266 4.6291 -4.6291 7.8266 4.6291 4.6291 -7.8266" Properties=species:S:1:pos:R:3 pbc="T T T"
Ac 0.0000 0.0000 3.9133
Ac 0.0000 0.0000 11.7399
La 0.0000 0.0000 0.0000
La 6.5254 1.8963 -2.1105
La 1.8963 2.7329 -2.1105
La 6.5254 1.8963 2.1105
La 1.8963 2.7329 2.1105
La 0.0000 0.0000 7.8266
La 2.7329 1.8963 5.7161
La -1.8963 2.7329 5.7161
La 2.7329 1.8963 9.9371
La -1.8963 2.7329 9.9371
Pr 3.5548 1.0743 0.0000
Pr 3.5548 -1.0743 7.8266
Pr 1.0743 5.7035 0.0000
Pr 1.0743 3.5548 7.8266
Tm 4.6291 0.0000 3.9133
Tm 0.0000 4.6291 3.9133
```


6.
Entry from Alexandria via LeMat-Bulk: crystalline NiPbN3 at its relaxed geometry (PBE).

SG: Pm-3m
VASP energy, eV per atom: -4.2748
Density of states at the Fermi level, states/eV/f.u.: 2.1
Crystal system: cubic

```
5
Lattice="4.2972 0.0000 0.0000 0.0000 4.2972 0.0000 0.0000 0.0000 4.2972" Properties=species:S:1:pos:R:3 pbc="T T T"
Ni 0.0000 0.0000 0.0000
Pb 2.1486 2.1486 2.1486
N 0.0000 2.1486 2.1486
N 2.1486 0.0000 2.1486
N 2.1486 2.1486 0.0000
```


7.
Entry from Alexandria via LeMat-Bulk: crystalline Pa3CN at its relaxed geometry (PBE).

SG: P-6
VASP energy, eV per atom: -9.5540
Density of states at the Fermi level, states/eV/f.u.: 8.0
Crystal system: hexagonal

```
5
Lattice="5.7033 0.0000 0.0000 -2.8517 4.9392 0.0000 0.0000 0.0000 3.1909" Properties=species:S:1:pos:R:3 pbc="T T T"
Pa 4.7432 1.6630 0.0000
Pa 1.9202 0.0000 0.0000
Pa 1.8916 3.2762 0.0000
C 2.8517 1.6464 1.5954
N 0.0000 3.2928 1.5954
```


8.
Entry from Alexandria via LeMat-Bulk: crystalline NaCa2ZnRh at its relaxed geometry (PBE).

SG: P4/mmm
VASP energy, eV per atom: -2.9563
Density of states at the Fermi level, states/eV/f.u.: 3.1
Crystal system: tetragonal

```
5
Lattice="5.4466 0.0000 0.0000 0.0000 5.4466 0.0000 0.0000 0.0000 4.9956" Properties=species:S:1:pos:R:3 pbc="T T T"
Na 0.0000 0.0000 0.0000
Ca 0.0000 2.7233 2.4978
Ca 2.7233 0.0000 2.4978
Zn 2.7233 2.7233 0.0000
Rh 2.7233 2.7233 2.4978
```


9.
Entry from Alexandria via LeMat-Bulk: crystalline Ti12In3Cu at its relaxed geometry (PBE).

SG: P4/mmm
VASP energy, eV per atom: -6.7748
Density of states at the Fermi level, states/eV/f.u.: 19.0
Crystal system: tetragonal

```
16
Lattice="4.1332 0.0000 0.0000 0.0000 4.1332 0.0000 0.0000 0.0000 16.3686" Properties=species:S:1:pos:R:3 pbc="T T T"
Ti 0.0000 0.0000 0.0000
Ti 0.0000 0.0000 3.9705
Ti 0.0000 0.0000 8.1843
Ti 0.0000 0.0000 12.3981
Ti 0.0000 2.0666 1.8812
Ti 0.0000 2.0666 6.0903
Ti 0.0000 2.0666 10.2784
Ti 0.0000 2.0666 14.4874
Ti 2.0666 0.0000 1.8812
Ti 2.0666 0.0000 6.0903
Ti 2.0666 0.0000 10.2784
Ti 2.0666 0.0000 14.4874
In 2.0666 2.0666 3.9774
In 2.0666 2.0666 8.1843
In 2.0666 2.0666 12.3912
Cu 2.0666 2.0666 0.0000
```


10.
Entry from Alexandria via LeMat-Bulk: crystalline In2SnRuI at its relaxed geometry (PBE).

SG: P4/mmm
VASP energy, eV per atom: -4.1988
Density of states at the Fermi level, states/eV/f.u.: 3.4
Crystal system: tetragonal

```
5
Lattice="5.3037 0.0000 0.0000 0.0000 5.3037 0.0000 0.0000 0.0000 5.1353" Properties=species:S:1:pos:R:3 pbc="T T T"
In 0.0000 2.6519 0.0000
In 2.6519 0.0000 0.0000
Sn 0.0000 0.0000 2.5676
Ru 0.0000 0.0000 0.0000
I 2.6519 2.6519 2.5676
```


11.
Entry from Alexandria via LeMat-Bulk: crystalline YSnSb2Te at its relaxed geometry (PBE).

E above lowest polymorph, eV per atom: 0.104
SG: P4/mmm
VASP energy, eV per atom: -4.0679
Density of states at the Fermi level, states/eV/f.u.: 3.7
Crystal system: tetragonal

```
5
Lattice="5.5591 0.0000 0.0000 0.0000 5.5591 0.0000 0.0000 0.0000 5.6473" Properties=species:S:1:pos:R:3 pbc="T T T"
Y 0.0000 0.0000 0.0000
Sn 2.7796 2.7796 2.8236
Sb 0.0000 2.7796 2.8236
Sb 2.7796 0.0000 2.8236
Te 2.7796 2.7796 0.0000
```


12.
Entry from Alexandria via LeMat-Bulk: crystalline PmNdEr5Tm2 at its relaxed geometry (PBE).

SG: Cmc2_1
VASP energy, eV per atom: -4.4224
Density of states at the Fermi level, states/eV/f.u.: 13.8
Crystal system: orthorhombic

```
18
Lattice="2.7861 -9.8286 0.0000 2.7861 9.8286 0.0000 0.0000 0.0000 10.5836" Properties=species:S:1:pos:R:3 pbc="T T T"
Pm 2.7861 8.2046 5.2918
Pm 2.7861 -8.2046 0.0000
Nd 2.7861 3.9677 0.6475
Nd 2.7861 -3.9677 5.9394
Er 2.7861 9.3870 8.3075
Er 2.7861 7.7156 0.7755
Er 2.7861 5.8766 8.0221
Er 2.7861 5.5486 3.7830
Er 2.7861 0.3411 0.8182
Er 2.7861 -0.3411 6.1101
Er 2.7861 -5.5486 9.0748
Er 2.7861 -5.8766 2.7302
Er 2.7861 -7.7156 6.0673
Er 2.7861 -9.3870 3.0156
Tm 2.7861 2.2250 3.9099
Tm 2.7861 2.1416 8.3246
Tm 2.7861 -2.1416 3.0328
Tm 2.7861 -2.2250 9.2017
```


13.
Entry from Alexandria via LeMat-Bulk: crystalline LiMg at its relaxed geometry (PBE).

SG: F-43m
VASP energy, eV per atom: -1.0923
Density of states at the Fermi level, states/eV/f.u.: 1.7
Crystal system: cubic

```
8
Lattice="6.4070 0.0000 0.0000 0.0000 6.4070 0.0000 0.0000 0.0000 6.4070" Properties=species:S:1:pos:R:3 pbc="T T T"
Li 0.0000 0.0000 0.0000
Li 0.0000 3.2035 3.2035
Li 3.2035 0.0000 3.2035
Li 3.2035 3.2035 0.0000
Mg 1.6017 1.6017 1.6017
Mg 1.6017 4.8052 4.8052
Mg 4.8052 1.6017 4.8052
Mg 4.8052 4.8052 1.6017
```


14.
Entry from Alexandria via LeMat-Bulk: crystalline La2CePrSm2 at its relaxed geometry (PBE).

SG: Pnnm
VASP energy, eV per atom: -4.7425
Density of states at the Fermi level, states/eV/f.u.: 14.1
Crystal system: orthorhombic

```
12
Lattice="6.6452 0.0000 0.0000 0.0000 18.4255 0.0000 0.0000 0.0000 3.4535" Properties=species:S:1:pos:R:3 pbc="T T T"
La 1.3544 3.4416 0.0000
La 1.9682 12.6544 1.7268
La 4.6770 5.7711 1.7268
La 5.2907 14.9839 0.0000
Ce 0.0000 9.2128 0.0000
Ce 3.3226 0.0000 1.7268
Pr 0.0000 0.0000 0.0000
Pr 3.3226 9.2128 1.7268
Sm 1.3004 6.5763 1.7268
Sm 2.0222 15.7890 0.0000
Sm 4.6230 2.6365 0.0000
Sm 5.3447 11.8492 1.7268
```


15.
Entry from Alexandria via LeMat-Bulk: crystalline Fe2CuRu at its relaxed geometry (PBE).

E above lowest polymorph, eV per atom: 0.077
SG: Cmmm
VASP energy, eV per atom: -7.3338
Density of states at the Fermi level, states/eV/f.u.: 4.9
Crystal system: orthorhombic

```
8
Lattice="2.8996 0.0000 0.0000 0.0000 4.2249 0.0000 0.0000 0.0000 8.3478" Properties=species:S:1:pos:R:3 pbc="T T T"
Fe 0.0000 0.0000 2.0525
Fe 0.0000 0.0000 6.2954
Fe 1.4498 2.1125 2.0525
Fe 1.4498 2.1125 6.2954
Cu 0.0000 2.1125 0.0000
Cu 1.4498 0.0000 0.0000
Ru 0.0000 2.1125 4.1739
Ru 1.4498 0.0000 4.1739
```


16.
Entry from Alexandria via LeMat-Bulk: crystalline AlTlCuHg2 at its relaxed geometry (PBE).

SG: P4/mmm
VASP energy, eV per atom: -1.7807
Density of states at the Fermi level, states/eV/f.u.: 2.7
Crystal system: tetragonal

```
5
Lattice="5.0816 0.0000 0.0000 0.0000 5.0816 0.0000 0.0000 0.0000 5.1846" Properties=species:S:1:pos:R:3 pbc="T T T"
Al 0.0000 0.0000 0.0000
Tl 2.5408 2.5408 0.0000
Cu 2.5408 2.5408 2.5923
Hg 0.0000 2.5408 2.5923
Hg 2.5408 0.0000 2.5923
```